Record 1
BaH6C2S2N2O3 | GGA-PBEsol | relaxed

Cell and atoms, written as CIF:
```
data_BaH6C2S2N2O3
_cell_length_a 8.151
_cell_length_b 8.151
_cell_length_c 13.365
_cell_angle_alpha 98.44
_cell_angle_beta 98.44
_cell_angle_gamma 31.36
_space_group_name_H-M_alt 'P 1'
_space_group_IT_number 1
_space_group_name_Hall 'P 1'
loop_
_atom_site_label
_atom_site_fract_x
_atom_site_fract_y
_atom_site_fract_z
Ba1 0.138 0.138 0.267
Ba2 0.862 0.862 0.733
H1 0.039 0.686 0.980
H2 0.142 0.789 0.379
H3 0.211 0.858 0.621
H4 0.215 0.215 0.707
H5 0.219 0.219 0.824
H6 0.314 0.961 0.020
H7 0.686 0.039 0.980
H8 0.781 0.781 0.176
H9 0.785 0.785 0.293
H10 0.789 0.142 0.379
H11 0.858 0.211 0.621
H12 0.961 0.314 0.020
C1 0.344 0.344 0.502
C2 0.459 0.459 0.152
C3 0.541 0.541 0.848
C4 0.656 0.656 0.498
S1 0.354 0.354 0.382
S2 0.356 0.356 0.107
S3 0.644 0.644 0.893
S4 0.646 0.646 0.618
N1 0.337 0.337 0.589
N2 0.467 0.467 0.813
N3 0.533 0.533 0.187
N4 0.663 0.663 0.411
O1 0.002 0.002 0.368
O2 0.143 0.143 0.067
O3 0.256 0.256 0.770
O4 0.744 0.744 0.230
O5 0.857 0.857 0.933
O6 0.998 0.998 0.632
```

Record 2
Ba2H14C4O15 | GGA-PBEsol | relaxed

Cell and atoms, written as CIF:
```
data_Ba2H14C4O15
_cell_length_a 7.630
_cell_length_b 7.630
_cell_length_c 14.763
_cell_angle_alpha 109.50
_cell_angle_beta 109.50
_cell_angle_gamma 60.12
_space_group_name_H-M_alt 'P 1'
_space_group_IT_number 1
_space_group_name_Hall 'P 1'
loop_
_atom_site_label
_atom_site_fract_x
_atom_site_fract_y
_atom_site_fract_z
Ba1 0.123 0.234 0.278
Ba2 0.234 0.123 0.778
Ba3 0.766 0.877 0.222
Ba4 0.877 0.766 0.722
H1 0.041 0.678 0.420
H2 0.077 0.881 0.583
H3 0.081 0.872 0.090
H4 0.119 0.923 0.917
H5 0.128 0.919 0.410
H6 0.155 0.327 0.570
H7 0.245 0.519 0.201
H8 0.283 0.595 0.315
H9 0.322 0.959 0.080
H10 0.327 0.155 0.070
H11 0.360 0.596 0.693
H12 0.404 0.640 0.807
H13 0.405 0.717 0.185
H14 0.481 0.755 0.299
H15 0.519 0.245 0.701
H16 0.595 0.283 0.815
H17 0.596 0.360 0.193
H18 0.640 0.404 0.307
H19 0.673 0.845 0.930
H20 0.678 0.041 0.920
H21 0.717 0.405 0.685
H22 0.755 0.481 0.799
H23 0.845 0.673 0.430
H24 0.872 0.081 0.590
H25 0.881 0.077 0.083
H26 0.919 0.128 0.910
H27 0.923 0.119 0.417
H28 0.959 0.322 0.580
C1 0.229 0.593 0.955
C2 0.301 0.443 0.024
C3 0.407 0.771 0.545
C4 0.443 0.301 0.524
C5 0.557 0.699 0.476
C6 0.593 0.229 0.455
C7 0.699 0.557 0.976
C8 0.771 0.407 0.045
O1 0.025 0.028 0.373
O2 0.028 0.025 0.873
O3 0.080 0.346 0.620
O4 0.169 0.533 0.866
O5 0.182 0.559 0.258
O6 0.233 0.767 0.504
O7 0.233 0.767 0.996
O8 0.274 0.291 0.486
O9 0.291 0.274 0.986
O10 0.301 0.699 0.750
O11 0.346 0.080 0.120
O12 0.361 0.506 0.115
O13 0.441 0.818 0.242
O14 0.467 0.831 0.634
O15 0.494 0.639 0.385
O16 0.506 0.361 0.615
O17 0.533 0.169 0.366
O18 0.559 0.182 0.758
O19 0.639 0.494 0.885
O20 0.654 0.920 0.880
O21 0.699 0.301 0.250
O22 0.709 0.726 0.014
O23 0.726 0.709 0.514
O24 0.767 0.233 0.004
O25 0.767 0.233 0.496
O26 0.818 0.441 0.742
O27 0.831 0.467 0.134
O28 0.920 0.654 0.380
O29 0.972 0.975 0.127
O30 0.975 0.972 0.627
```

Record 3
Ba3V2H12C10O28 | GGA-PBEsol | relaxed

Cell and atoms, written as CIF:
```
data_Ba3V2H12C10O28
_cell_length_a 9.051
_cell_length_b 9.051
_cell_length_c 18.347
_cell_angle_alpha 96.11
_cell_angle_beta 96.11
_cell_angle_gamma 111.93
_space_group_name_H-M_alt 'P 1'
_space_group_IT_number 1
_space_group_name_Hall 'P 1'
loop_
_atom_site_label
_atom_site_fract_x
_atom_site_fract_y
_atom_site_fract_z
Ba1 0.148 0.201 0.456
Ba2 0.201 0.148 0.956
Ba3 0.217 0.783 0.750
Ba4 0.783 0.217 0.250
Ba5 0.799 0.852 0.044
Ba6 0.852 0.799 0.544
V1 0.209 0.406 0.655
V2 0.406 0.209 0.155
V3 0.594 0.791 0.845
V4 0.791 0.594 0.345
H1 0.034 0.711 0.955
H2 0.073 0.508 0.887
H3 0.110 0.539 0.110
H4 0.141 0.794 0.033
H5 0.185 0.674 0.359
H6 0.206 0.859 0.467
H7 0.289 0.966 0.545
H8 0.305 0.648 0.419
H9 0.326 0.815 0.141
H10 0.352 0.695 0.081
H11 0.461 0.890 0.390
H12 0.492 0.927 0.613
H13 0.508 0.073 0.387
H14 0.539 0.110 0.610
H15 0.648 0.305 0.919
H16 0.674 0.185 0.859
H17 0.695 0.352 0.581
H18 0.711 0.034 0.455
H19 0.794 0.141 0.533
H20 0.815 0.326 0.641
H21 0.859 0.206 0.967
H22 0.890 0.461 0.890
H23 0.927 0.492 0.113
H24 0.966 0.289 0.045
C1 0.042 0.518 0.541
C2 0.090 0.149 0.170
C3 0.149 0.090 0.670
C4 0.191 0.288 0.233
C5 0.288 0.191 0.733
C6 0.349 0.508 0.877
C7 0.482 0.958 0.959
C8 0.492 0.505 0.411
C9 0.492 0.651 0.623
C10 0.495 0.508 0.089
C11 0.505 0.492 0.911
C12 0.508 0.349 0.377
C13 0.508 0.495 0.589
C14 0.518 0.042 0.041
C15 0.651 0.492 0.123
C16 0.712 0.809 0.267
C17 0.809 0.712 0.767
C18 0.851 0.910 0.330
C19 0.910 0.851 0.830
C20 0.958 0.482 0.459
O1 0.009 0.445 0.110
O2 0.041 0.631 0.585
O3 0.059 0.916 0.835
O4 0.061 0.807 0.996
O5 0.084 0.941 0.665
O6 0.091 0.455 0.704
O7 0.102 0.169 0.625
O8 0.109 0.419 0.555
O9 0.123 0.340 0.278
O10 0.169 0.102 0.125
O11 0.193 0.939 0.504
O12 0.215 0.413 0.888
O13 0.267 0.732 0.402
O14 0.268 0.733 0.098
O15 0.335 0.344 0.732
O16 0.340 0.123 0.778
O17 0.344 0.335 0.232
O18 0.365 0.496 0.435
O19 0.367 0.384 0.088
O20 0.369 0.959 0.915
O21 0.371 0.627 0.658
O22 0.373 0.629 0.842
O23 0.384 0.367 0.588
O24 0.413 0.215 0.388
O25 0.419 0.109 0.055
O26 0.445 0.009 0.610
O27 0.455 0.091 0.204
O28 0.496 0.365 0.935
O29 0.504 0.635 0.065
O30 0.545 0.909 0.796
O31 0.555 0.991 0.390
O32 0.581 0.891 0.945
O33 0.587 0.785 0.612
O34 0.616 0.633 0.412
O35 0.627 0.371 0.158
O36 0.629 0.373 0.342
O37 0.631 0.041 0.085
O38 0.633 0.616 0.912
O39 0.635 0.504 0.565
O40 0.656 0.665 0.768
O41 0.660 0.877 0.222
O42 0.665 0.656 0.268
O43 0.732 0.267 0.902
O44 0.733 0.268 0.598
O45 0.785 0.587 0.112
O46 0.807 0.061 0.496
O47 0.831 0.898 0.875
O48 0.877 0.660 0.722
O49 0.891 0.581 0.445
O50 0.898 0.831 0.375
O51 0.909 0.545 0.296
O52 0.916 0.059 0.335
O53 0.939 0.193 0.004
O54 0.941 0.084 0.165
O55 0.959 0.369 0.415
O56 0.991 0.555 0.890
```

Record 4
BaHfC3 | GGA-PBEsol | relaxed

Cell and atoms, written as CIF:
```
data_BaHfC3
_cell_length_a 4.386
_cell_length_b 4.386
_cell_length_c 4.386
_cell_angle_alpha 90.00
_cell_angle_beta 90.00
_cell_angle_gamma 90.00
_space_group_name_H-M_alt 'P 1'
_space_group_IT_number 1
_space_group_name_Hall 'P 1'
loop_
_atom_site_label
_atom_site_fract_x
_atom_site_fract_y
_atom_site_fract_z
Ba1 0.000 0.000 0.000
Hf1 0.500 0.500 0.500
C1 0.000 0.500 0.500
C2 0.500 0.000 0.500
C3 0.500 0.500 0.000
```

Record 5
Ba2HfPC | GGA-PBEsol | relaxed

Cell and atoms, written as CIF:
```
data_Ba2HfPC
_cell_length_a 5.608
_cell_length_b 5.608
_cell_length_c 4.361
_cell_angle_alpha 90.00
_cell_angle_beta 90.00
_cell_angle_gamma 90.00
_space_group_name_H-M_alt 'P 1'
_space_group_IT_number 1
_space_group_name_Hall 'P 1'
loop_
_atom_site_label
_atom_site_fract_x
_atom_site_fract_y
_atom_site_fract_z
Ba1 0.000 0.500 0.000
Ba2 0.500 0.000 0.000
Hf1 0.000 0.000 0.500
P1 0.500 0.500 0.500
C1 0.000 0.000 0.000
```

Record 6
BaTa2HgC | GGA-PBEsol | relaxed

Cell and atoms, written as CIF:
```
data_BaTa2HgC
_cell_length_a 5.196
_cell_length_b 5.196
_cell_length_c 4.338
_cell_angle_alpha 90.00
_cell_angle_beta 90.00
_cell_angle_gamma 90.00
_space_group_name_H-M_alt 'P 1'
_space_group_IT_number 1
_space_group_name_Hall 'P 1'
loop_
_atom_site_label
_atom_site_fract_x
_atom_site_fract_y
_atom_site_fract_z
Ba1 0.000 0.000 0.000
Ta1 0.000 0.500 0.000
Ta2 0.500 0.000 0.000
Hg1 0.500 0.500 0.500
C1 0.000 0.000 0.500
```

The raw total energy results, record by record, are as follows: -5.956, -6.157, -7.107, -7.249, -5.880, -4.278 eV/atom.